## MnAgOs2 (GGA-PBE)

Data for MnAgOs2 after structural relaxation.

a b c (Å): 2.753 4.752 5.507
angles (deg): 54.70 90.00 90.00
Sites, in units of the cell vectors:
Ag  0.500  0.500  0.500
Os  0.500  0.500  0.000
Os  0.000  0.000  0.000
Mn  0.000  0.000  0.500

Computed properties:
- Crystal system: monoclinic
- Offset from the most stable computed form: 194 meV/atom
- Energy of formation from the pure elements: 0.486 eV per atom